P.
An optimized crystal structure of YTl2Cd. Source: Alexandria, functional PBE-GGA.

Unit cell a=4.7525 b=4.7525 c=4.5739 alpha=90.00 beta=90.00 gamma=90.00
Space group P4/mmm (No. 123)
Symmetry-distinct sites (fractional):
1 Y 0.0000 0.0000 0.0000 (multiplicity 1)
2 Tl 0.0000 0.5000 0.5000 (multiplicity 2)
3 Cd 0.5000 0.5000 0.0000 (multiplicity 1)

The calculation puts the density of states at the Fermi level at 2.61 states/eV per cell. The calculation puts the magnetic moment at 0.000 μB per atom.

=====

Q.
An optimized crystal structure of YTl2Cd. Source: Alexandria, functional PBE-GGA.

Unit cell a=10.4719 b=3.7215 c=5.7305 alpha=90.00 beta=102.82 gamma=90.00
Space group C2/m (No. 12)
Symmetry-distinct sites (fractional):
1 Y 0.0000 0.0000 0.0000 (multiplicity 2)
2 Tl 0.2440 0.0000 0.7410 (multiplicity 4)
3 Cd 0.0000 0.5000 0.5000 (multiplicity 2)

The calculation puts the density of states at the Fermi level at 3.38 states/eV per cell. The calculation puts the magnetic moment at 0.000 μB per atom.

=====

R.
An optimized crystal structure of YTl2Cd. Source: Alexandria, functional PBE-GGA.

Unit cell a=8.2881 b=8.2881 c=6.5797 alpha=90.00 beta=90.00 gamma=90.00
Space group I-42d (No. 122)
Symmetry-distinct sites (fractional):
1 Y 0.0000 0.0000 0.0000 (multiplicity 4)
2 Tl 0.2289 0.2500 0.6250 (multiplicity 8)
3 Cd 0.0000 0.0000 0.5000 (multiplicity 4)

The calculation puts the density of states at the Fermi level at 12.16 states/eV per cell. The calculation puts the magnetic moment at 0.000 μB per atom.

=====

Least stable: R

=====

P.
An optimized crystal structure of Y2TlCd2. Source: Alexandria, functional PBE-GGA.

Unit cell a=8.5748 b=8.5748 c=3.8521 alpha=90.00 beta=90.00 gamma=90.00
Space group P4/mbm (No. 127)
Symmetry-distinct sites (fractional):
1 Y 0.1581 0.3419 0.0000 (multiplicity 4)
2 Tl 0.0000 0.0000 0.0000 (multiplicity 2)
3 Cd 0.1383 0.6383 0.5000 (multiplicity 4)

The calculation puts the density of states at the Fermi level at 6.25 states/eV per cell. The calculation puts the magnetic moment at 0.000 μB per atom.

=====

Q.
An optimized crystal structure of Y2TlCd2. Source: Alexandria, functional PBE-GGA.

Unit cell a=4.8812 b=4.8812 c=12.9239 alpha=90.00 beta=90.00 gamma=90.00
Space group I4/mmm (No. 139)
Symmetry-distinct sites (fractional):
1 Y 0.0000 0.5000 0.2500 (multiplicity 4)
2 Tl 0.0000 0.0000 0.0000 (multiplicity 2)
3 Cd 0.0000 0.0000 0.3970 (multiplicity 4)

The calculation puts the density of states at the Fermi level at 7.56 states/eV per cell. The calculation puts the magnetic moment at 0.176 μB per atom.

=====

Least stable: Q